(1)
DFT (PBE) results for crystalline Al2ZnCu at its relaxed geometry.

Summary:
The density of states at the Fermi level is 0.8 states/eV/cell. The calculation puts the formation energy at -0.042 eV/atom.

Cell lengths 4.7804, 4.7804, 4.4276 Å; angles 97.55, 97.55, 36.59 degrees
Last column: nearest neighbours and their distance in Å.
Atoms (fractional coordinates):
Al  0.0000  0.0000  0.0000  4 Zn 2.64-2.71, 3 Cu 2.65-2.74, 3 Al 2.69-2.86
Al  0.2473  0.2473  0.7274  3 Zn 2.61-2.82, 4 Cu 2.67-2.68, 3 Al 2.69-2.86
Zn  0.4943  0.4943  0.4885  7 Al 2.61-2.82, 3 Cu 2.69-2.84
Cu  0.7438  0.7438  0.2243  7 Al 2.65-2.74, 3 Zn 2.69-2.84

---

(2)
DFT (PBE) results for crystalline AlZnCu6 at its relaxed geometry.

Summary:
The density of states at the Fermi level is 2.9 states/eV/cell. For the relative energy among the computed polymorphs, the calculation gives 366 meV per atom. The calculation puts the formation energy at 0.235 eV/atom.

Cell lengths 4.9295, 4.9295, 4.9295 Å; angles 84.63, 84.63, 84.63 degrees
Last column: nearest neighbours and their distance in Å.
Atoms (fractional coordinates):
Al  0.0000  0.0000  0.0000  6 Cu 2.45
Zn  0.5000  0.5000  0.5000  6 Cu 2.46
Cu  0.0310  0.6612  0.6612  5 Cu 2.41-2.58, 1 Al 2.45, 1 Zn 2.46
Cu  0.3388  0.3388  0.9690  5 Cu 2.41-2.58, 1 Al 2.45, 1 Zn 2.46
Cu  0.3388  0.9690  0.3388  5 Cu 2.41-2.58, 1 Al 2.45, 1 Zn 2.46
Cu  0.6612  0.0310  0.6612  5 Cu 2.41-2.58, 1 Al 2.45, 1 Zn 2.46
Cu  0.6612  0.6612  0.0310  5 Cu 2.41-2.58, 1 Al 2.45, 1 Zn 2.46
Cu  0.9690  0.3388  0.3388  5 Cu 2.41-2.58, 1 Al 2.45, 1 Zn 2.46

---

(3)
DFT (PBE) results for crystalline Al3ZnCu at its relaxed geometry.

Summary:
The density of states at the Fermi level is 2.7 states/eV/cell. For the relative energy among the computed polymorphs, the calculation gives 0 meV per atom. The calculation puts the formation energy at 0.301 eV/atom.

Cell lengths 4.5921, 4.5921, 4.5921 Å; angles 90.00, 90.00, 90.00 degrees
Last column: nearest neighbours and their distance in Å.
Atoms (fractional coordinates):
Al  0.0000  0.0000  0.5000  2 Cu 2.30
Al  0.0000  0.5000  0.0000  2 Cu 2.30
Al  0.5000  0.0000  0.0000  2 Cu 2.30
Zn  0.5000  0.5000  0.5000  12 Al 3.25
Cu  0.0000  0.0000  0.0000  6 Al 2.30

---

(4)
DFT (PBE) results for crystalline Al2ZnCu at its relaxed geometry.

Summary:
The density of states at the Fermi level is 1.6 states/eV/cell. The calculation puts the formation energy at 0.096 eV/atom.

Cell lengths 4.4127, 4.4127, 4.4127 Å; angles 60.00, 60.00, 60.00 degrees
Last column: nearest neighbours and their distance in Å.
Atoms (fractional coordinates):
Al  0.0000  0.0000  0.0000  4 Zn 2.70, 4 Al 2.70
Al  0.2500  0.2500  0.2500  4 Cu 2.70, 4 Al 2.70
Zn  0.7500  0.7500  0.7500  4 Cu 2.70, 4 Al 2.70
Cu  0.5000  0.5000  0.5000  4 Al 2.70, 4 Zn 2.70

---

(5)
DFT (PBE) results for crystalline Al2Zn6Cu at its relaxed geometry.

Summary:
The density of states at the Fermi level is 1.8 states/eV/cell. The calculation puts the formation energy at 0.012 eV/atom.

Cell lengths 2.6821, 6.6088, 8.2933 Å; angles 82.12, 87.16, 79.47 degrees
Last column: nearest neighbours and their distance in Å.
Atoms (fractional coordinates):
Al  0.0009  0.4335  0.2657  2 Cu 2.55-2.58, 2 Al 2.68, 5 Zn 2.69-2.84
Al  0.9991  0.5665  0.7343  2 Cu 2.55-2.58, 2 Al 2.68, 5 Zn 2.69-2.84
Zn  0.1656  0.1649  0.0165  2 Cu 2.52-2.57, 4 Zn 2.55-2.68
Zn  0.3111  0.9441  0.6791  7 Zn 2.62-2.89, 2 Al 2.75-2.82
Zn  0.3530  0.7106  0.4192  6 Zn 2.62-2.91, 3 Al 2.69-2.84
Zn  0.6470  0.2894  0.5808  6 Zn 2.62-2.91, 3 Al 2.69-2.84
Zn  0.6889  0.0559  0.3209  7 Zn 2.62-2.89, 2 Al 2.75-2.82
Zn  0.8344  0.8351  0.9835  2 Cu 2.52-2.57, 4 Zn 2.55-2.68
Cu  0.5000  0.5000  0.0000  4 Zn 2.52-2.57, 4 Al 2.55-2.58, 2 Cu 2.68

---

(6)
DFT (PBE) results for crystalline Al2Zn3Cu7 at its relaxed geometry.

Summary:
The density of states at the Fermi level is 2.3 states/eV/cell. The calculation puts the formation energy at -0.020 eV/atom.

Cell lengths 9.6163, 9.6163, 4.2830 Å; angles 90.00, 90.00, 154.32 degrees
Last column: nearest neighbours and their distance in Å.
Atoms (fractional coordinates):
Al  0.1489  0.8511  0.0000  8 Cu 2.50-2.79
Al  0.8511  0.1489  0.0000  8 Cu 2.50-2.79
Zn  0.3498  0.6502  0.5000  6 Cu 2.49-2.58
Zn  0.5000  0.5000  0.5000  8 Cu 2.54-2.56, 2 Zn 2.82
Zn  0.6502  0.3498  0.5000  6 Cu 2.49-2.58
Cu  0.0000  0.0000  0.0000  8 Cu 2.54-2.56, 2 Al 2.79
Cu  0.0730  0.9270  0.5000  4 Zn 2.54-2.58, 3 Cu 2.54-2.74, 2 Al 2.57
Cu  0.2821  0.7179  0.0000  3 Cu 2.45-2.68, 2 Zn 2.49, 3 Al 2.50
Cu  0.4252  0.5748  0.0000  2 Al 2.55, 4 Cu 2.56-2.81, 4 Zn 2.56-2.57
Cu  0.5748  0.4252  0.0000  2 Al 2.55, 4 Cu 2.56-2.81, 4 Zn 2.56-2.57
Cu  0.7179  0.2821  0.0000  3 Cu 2.45-2.68, 2 Zn 2.49, 3 Al 2.50
Cu  0.9270  0.0730  0.5000  4 Zn 2.54-2.58, 3 Cu 2.54-2.74, 2 Al 2.57